This record from Alexandria describes a relaxed MnIO2F crystal. The functional is GGA+U.

Structure (POSCAR):
```
MnIO2F
1.0
4.111 0.000 0.000
0.000 4.111 0.000
0.000 0.000 3.982
Mn I O F
1 1 2 1
direct
0.000 0.000 0.000
0.500 0.500 0.500
0.000 0.500 0.000
0.500 0.000 0.000
0.000 0.000 0.500
```

Summary:
DOS at the Fermi energy, states/eV/atom: 0.60
Total DFT energy (no corrections), eV/cell: -24.3
Total magnetic moment, μB/f.u.: 3.9